# 1
6
Lattice="4.631 0.000 0.000 0.000 4.631 0.000 0.000 0.000 7.730" Properties=species:S:1:pos:R:3 comment="KCdCl4 (GGA-PBE, optimized geometry)" n_ef_per_ev_atom=0.94 spacegroup=P4/mmm crystal_system=tetragonal pbc="T T T"
K 0.000 0.000 0.000
Cd 2.315 2.315 3.865
Cl 0.000 2.315 2.214
Cl 0.000 2.315 5.517
Cl 2.315 0.000 2.214
Cl 2.315 0.000 5.517


# 2
12
Lattice="7.878 0.000 0.000 0.000 7.878 0.000 0.000 0.000 7.878" Properties=species:S:1:pos:R:3 comment="KCdCl (GGA-PBE, optimized geometry)" n_ef_per_ev_atom=0.00 spacegroup=F-43m crystal_system=cubic pbc="T T T"
K 0.000 0.000 0.000
K 0.000 3.939 3.939
K 3.939 0.000 3.939
K 3.939 3.939 0.000
Cd 1.970 1.970 1.970
Cd 1.970 5.909 5.909
Cd 5.909 1.970 5.909
Cd 5.909 5.909 1.970
Cl 0.000 0.000 3.939
Cl 0.000 3.939 0.000
Cl 3.939 0.000 0.000
Cl 3.939 3.939 3.939


# 3
4
Lattice="4.142 0.000 0.000 0.000 4.142 0.000 0.000 0.000 10.067" Properties=species:S:1:pos:R:3 comment="K2CdCl (GGA-PBE, optimized geometry)" n_ef_per_ev_atom=0.51 spacegroup=P4mm crystal_system=tetragonal pbc="T T T"
K 0.000 0.000 0.000
K 2.071 2.071 4.055
Cd 0.000 0.000 6.350
Cl 2.071 2.071 1.013


# 4
8
Lattice="4.339 0.000 0.000 0.000 7.550 0.000 0.000 0.000 10.827" Properties=species:S:1:pos:R:3 comment="K2CdCl (GGA-PBE, optimized geometry)" n_ef_per_ev_atom=0.50 spacegroup=Immm crystal_system=orthorhombic pbc="T T T"
K 0.000 0.000 2.100
K 0.000 0.000 8.727
K 2.169 3.775 3.313
K 2.169 3.775 7.514
Cd 0.000 3.775 0.000
Cd 2.169 0.000 5.414
Cl 0.000 3.775 5.414
Cl 2.169 0.000 0.000


no.,formation energy from raw total energies (eV per atom),total magnetic moment (μB per formula unit)
1,-0.962,0.71
2,-0.742,0.00
3,-0.843,0.00
4,-0.761,0.00